No. 1
Material: CsInFe2Br6
Method: DFT, PBE
State: relaxed

```
20
Lattice="10.0808 0.8225 0.8865 -0.4179 10.1057 0.8865 -1.8092 -2.0461 7.2125" Properties=species:S:1:pos:R:3 pbc="T T T"
Br 5.5997 4.6532 5.9003
Br 7.6611 8.1132 5.0508
Br 1.6441 1.3083 0.3284
Br 6.2096 7.5738 8.6570
Br 5.4638 0.7055 2.8836
In 5.4925 3.9681 2.6896
Br 3.0165 1.7317 6.6914
Fe 7.1358 6.3211 6.7088
Br -0.8733 4.4861 6.4899
Br 0.1926 0.7689 3.9346
Fe 1.5492 0.0031 5.8829
Br 2.3899 8.1765 6.1018
Cs 6.7618 1.0229 6.2958
In 2.3612 4.9139 6.2958
Fe 0.7180 2.5610 2.2767
Br 4.8372 7.1503 2.2940
Cs 1.0919 7.8592 2.6896
Br 2.2540 4.2289 3.0852
Br 8.7270 4.3960 2.4956
Fe 6.3045 8.8790 3.1025
```

Results
Density of states at the Fermi level (states/eV/cell): 20.9
Crystal system: monoclinic
Calculated total energy (eV per atom): -3.794


No. 2
Material: NdScZn17
Method: DFT, PBE
State: relaxed

```
19
Lattice="-6.0868 -2.8199 0.9794 2.0900 -5.3153 3.6522 -1.1974 2.6404 6.1281" Properties=species:S:1:pos:R:3 pbc="T T T"
Zn -0.4603 -2.1982 6.4521
Zn -4.8420 -3.3236 4.2506
Zn -2.4121 -0.6100 6.8094
Zn -6.1919 -2.8590 8.9119
Zn -2.7721 -4.7798 4.0176
Zn -0.7783 -4.5637 5.5790
Zn -0.2432 0.2664 5.3721
Zn -4.3264 -1.0182 5.1883
Zn -4.5796 -6.7609 7.6975
Zn -4.6994 -4.9714 9.7348
Zn -2.6291 0.9945 4.5922
Zn -4.6060 -1.2132 2.5104
Nd -3.4512 -3.6509 7.1491
Zn -2.1815 -4.0829 10.2228
Zn -0.5434 -0.5748 1.1256
Zn 1.0859 -2.9503 4.3710
Zn -3.6468 -3.5346 1.7879
Zn -0.3408 -4.5436 2.8686
Sc -1.7264 -1.8264 3.5763
```

Results
Density of states at the Fermi level (states/eV/cell): 3.2
Crystal system: trigonal
Calculated total energy (eV per atom): -1.933
E_form (eV per atom): -0.209


No. 3
Material: NbZn2SiBr
Method: DFT, PBE
State: relaxed

```
5
Lattice="5.1848 0.0000 0.0000 0.0000 4.8603 0.0000 0.0000 0.0000 5.1848" Properties=species:S:1:pos:R:3 pbc="T T T"
Zn 2.5924 0.0000 0.0000
Zn 0.0000 0.0000 2.5924
Si 2.5924 2.4301 2.5924
Nb 0.0000 0.0000 0.0000
Br 0.0000 2.4301 0.0000
```

Results
Density of states at the Fermi level (states/eV/cell): 5.1
Crystal system: tetragonal
Calculated total energy (eV per atom): -2.931


No. 4
Material: Pr3GaHg2
Method: DFT, PBE
State: relaxed

```
6
Lattice="3.7917 0.0000 0.0000 0.0000 3.7917 0.0000 0.0000 0.0000 11.6234" Properties=species:S:1:pos:R:3 pbc="T T T"
Pr 0.0000 0.0000 0.0000
Hg 1.8959 1.8959 9.6333
Pr 0.0000 0.0000 7.6133
Hg 1.8959 1.8959 1.9900
Pr 0.0000 0.0000 4.0101
Ga 1.8959 1.8959 5.8117
```

Results
Density of states at the Fermi level (states/eV/cell): 6.6
E above lowest polymorph (meV per atom): 0
Crystal system: tetragonal
Calculated total energy (eV per atom): -3.486
E_form (eV per atom): -0.491


No. 5
Material: NbTlCrN2
Method: DFT, PBE
State: relaxed

```
5
Lattice="-0.7459 -1.8940 -3.3022 -1.0733 -4.1179 2.6042 -3.7142 1.0997 0.2082" Properties=species:S:1:pos:R:3 pbc="T T T"
Nb -0.5366 -2.0590 1.3021
Cr 0.0000 0.0000 0.0000
N -0.3729 -0.9470 -1.6511
Tl -2.7667 -2.4561 -0.2449
N -1.8571 0.5499 0.1041
```

Results
Density of states at the Fermi level (states/eV/cell): 4.5
Crystal system: tetragonal
Calculated total energy (eV per atom): -6.772


No. 6
Material: Hf9Ti4Al11
Method: DFT, PBE
State: relaxed

```
24
Lattice="-0.6570 0.7643 -2.7780 -7.4398 -9.6152 -0.8857 -8.8728 7.2823 4.1021" Properties=species:S:1:pos:R:3 pbc="T T T"
Hf -6.8106 3.6325 1.0384
Al -12.2955 -1.7584 2.4243
Al -7.6868 -6.7029 -0.0261
Al -8.3663 1.3091 2.3389
Hf -14.7825 -0.2210 1.8637
Al -12.0374 -4.5747 1.5884
Ti -10.6355 -2.5021 0.2553
Hf -8.4848 -0.7843 0.2192
Ti -10.8718 0.2846 1.0778
Hf -6.1106 -4.6221 -1.3982
Ti -6.0978 -1.8532 -0.6394
Hf -2.1872 -1.3476 -1.4253
Al -4.2752 2.2418 1.6280
Hf -14.5371 -3.1138 1.0098
Al -3.7971 -3.3963 -0.0363
Hf -10.1590 -5.2011 -0.6000
Ti -6.3342 0.9335 0.1831
Al -8.6259 4.3701 3.2425
Hf -2.4325 1.5452 -0.5714
Al -7.9464 -3.6420 0.8775
Hf -10.8591 3.0536 1.8366
Al 0.0000 0.0000 0.0000
Al -12.5155 1.0634 3.2527
Al -4.0171 -0.5745 0.7921
```

Results
Density of states at the Fermi level (states/eV/cell): 20.8
Crystal system: orthorhombic
Calculated total energy (eV per atom): -7.057
E_form (eV per atom): -0.293


No. 7
Material: Y6Si2SnTe3
Method: DFT, PBE
State: relaxed

```
12
Lattice="4.2629 0.0000 0.0000 0.0000 8.7200 0.2515 -2.1314 -2.5746 9.0851" Properties=species:S:1:pos:R:3 pbc="T T T"
Si 2.1314 4.0806 6.2026
Y 2.1314 4.0119 9.0928
Y 2.1314 4.0370 3.3166
Y 0.0000 2.1084 6.0200
Y 2.1314 0.0883 3.0601
Te 2.1314 4.3600 0.1257
Sn 2.1314 0.0000 0.0000
Y 0.0000 6.0571 6.2764
Te 2.1314 -0.2695 6.1446
Y 0.0000 2.1335 0.2438
Te 0.0000 6.4149 3.1920
Si 0.0000 2.0648 3.1340
```

Results
Density of states at the Fermi level (states/eV/cell): 2.3
Crystal system: monoclinic
Calculated total energy (eV per atom): -6.358


No. 8
Material: YCoTcP2
Method: DFT, PBE
State: relaxed

```
5
Lattice="-0.7464 -0.0626 3.8760 -3.8617 -0.3326 -0.7490 2.7221 -4.6610 -1.5614" Properties=species:S:1:pos:R:3 pbc="T T T"
Tc -0.1642 -2.4606 1.9390
P 0.3113 -3.6175 0.0016
Co -1.7218 -2.5956 -0.3735
Y 0.0000 0.0000 0.0000
P -2.1972 -1.4386 1.5640
```

Results
Density of states at the Fermi level (states/eV/cell): 2.0
Crystal system: tetragonal
Calculated total energy (eV per atom): -7.902
E_form (eV per atom): -0.951


No. 9
Material: Pu3Pd
Method: DFT, PBE
State: relaxed

```
4
Lattice="4.5746 0.0000 0.0000 0.0000 4.5746 0.0000 0.0000 0.0000 4.5746" Properties=species:S:1:pos:R:3 pbc="T T T"
Pd 0.0000 0.0000 0.0000
Pu 2.2873 2.2873 0.0000
Pu 2.2873 0.0000 2.2873
Pu 0.0000 2.2873 2.2873
```

Results
Density of states at the Fermi level (states/eV/cell): 17.6
E above lowest polymorph (meV per atom): 58
Crystal system: cubic
Calculated total energy (eV per atom): -12.055
E_form (eV per atom): -0.007


No. 10
Material: Os2RhAu
Method: DFT, PBE
State: relaxed

```
4
Lattice="-1.9504 1.9504 3.9371 1.9504 -1.9504 3.9371 1.9504 1.9504 -3.9371" Properties=species:S:1:pos:R:3 pbc="T T T"
Au 0.0000 1.9504 1.9686
Os 1.9504 0.0000 1.9686
Rh 0.0000 0.0000 3.9371
Os 0.0000 0.0000 0.0000
```

Results
Density of states at the Fermi level (states/eV/cell): 4.8
E above lowest polymorph (meV per atom): 224
Crystal system: tetragonal
Calculated total energy (eV per atom): -7.833
E_form (eV per atom): 0.439


- Which value of density of states at the Fermi level does entry 3 give?
  5.1 states/eV/cell


- Which of these has the lowest density of states at the Fermi level?
  YCoTcP2


- Which of these has the lowest density of states at the Fermi level?
  YCoTcP2